Record 1
ZrScHgC: optimized geometry, PBE.

Output
energy above the lowest structure with this stoichiometry	6	meV per atom
crystal system	hexagonal

Lattice parameters (Å, degrees): 3.3526 3.3526 14.9873 90.00 90.00 120.00
With the nearest neighbours (Å) after each atom.
Space group P-6m2 (No. 187)
Unique sites:
Zr: 0.0000 0.0000 0.1676 [2 per cell]  3 C 2.28
Sc: 0.3333 0.6667 0.3340 [2 per cell]  3 C 2.32
Hg: 0.0000 0.0000 0.5000 [1 per cell]  6 Sc 3.15, 6 Hg 3.35
Hg: 0.3333 0.6667 0.0000 [1 per cell]  6 Zr 3.17, 6 Hg 3.35
C: 0.6667 0.3333 0.2484 [2 per cell]  3 Zr 2.28, 3 Sc 2.32



Record 2
ZrScHgC: optimized geometry, PBE.

Output
energy above the lowest structure with this stoichiometry	0	meV per atom
crystal system	trigonal

Lattice parameters (Å, degrees): 3.3519 3.3519 15.0080 90.00 90.00 120.00
With the nearest neighbours (Å) after each atom.
Space group P-3m1 (No. 164)
Unique sites:
Zr: 0.3333 0.6667 0.0839 [2 per cell]  3 C 2.31
Sc: 0.3333 0.6667 0.4182 [2 per cell]  3 C 2.29
Hg: 0.3333 0.6667 0.7501 [2 per cell]  3 Zr 3.15, 3 Sc 3.18, 6 Hg 3.35
C: 0.0000 0.0000 0.0000 [1 per cell]  6 Zr 2.31
C: 0.0000 0.0000 0.5000 [1 per cell]  6 Sc 2.29



Record 3
Zr3ScHg2C2: optimized geometry, PBE.

Output
E	-6.938	eV per atom
crystal system	trigonal

Lattice parameters (Å, degrees): 3.3545 3.3545 14.9851 90.00 90.00 120.00
With the nearest neighbours (Å) after each atom.
Space group P3m1 (No. 156)
Unique sites:
Zr: 0.0000 0.0000 0.0000 [1 per cell]  3 C 2.28
Zr: 0.0000 0.0000 0.3336 [1 per cell]  3 C 2.31
Zr: 0.3333 0.6667 0.5014 [1 per cell]  3 C 2.31
Sc: 0.3333 0.6667 0.8333 [1 per cell]  3 C 2.33
Hg: 0.0000 0.0000 0.6674 [1 per cell]  3 Sc 3.15, 3 Zr 3.15, 6 Hg 3.35
Hg: 0.3333 0.6667 0.1673 [1 per cell]  6 Zr 3.16-3.17, 6 Hg 3.35
C: 0.6667 0.3333 0.4174 [1 per cell]  6 Zr 2.31
C: 0.6667 0.3333 0.9192 [1 per cell]  3 Zr 2.28, 3 Sc 2.33



Record 4
Tm4HgC2Se: optimized geometry, PBE.

Output
E	-5.811	eV per atom
crystal system	hexagonal

Lattice parameters (Å, degrees): 3.6438 3.6438 14.1249 90.00 90.00 120.00
With the nearest neighbours (Å) after each atom.
Space group P-6m2 (No. 187)
Unique sites:
Tm: 0.0000 0.0000 0.1395 [2 per cell]  3 C 2.49
Tm: 0.3333 0.6667 0.3240 [2 per cell]  3 C 2.46
Hg: 0.0000 0.0000 0.5000 [1 per cell]  6 Tm 3.26, 6 Hg 3.64
C: 0.6667 0.3333 0.2332 [2 per cell]  6 Tm 2.46-2.49
Se: 0.3333 0.6667 0.0000 [1 per cell]  6 Tm 2.88



Record 5
Zr4HgC2Se: optimized geometry, PBE.

Output
E	-7.941	eV per atom
crystal system	hexagonal

Lattice parameters (Å, degrees): 3.4208 3.4208 13.8141 90.00 90.00 120.00
With the nearest neighbours (Å) after each atom.
Space group P-6m2 (No. 187)
Unique sites:
Zr: 0.0000 0.0000 0.1424 [2 per cell]  3 C 2.34
Zr: 0.3333 0.6667 0.3215 [2 per cell]  3 C 2.32
Hg: 0.0000 0.0000 0.5000 [1 per cell]  6 Zr 3.16, 6 Hg 3.42
C: 0.6667 0.3333 0.2336 [2 per cell]  6 Zr 2.32-2.34
Se: 0.3333 0.6667 0.0000 [1 per cell]  6 Zr 2.79



Record 6
Tm4SnHgC2: optimized geometry, PBE.

Output
E	-5.586	eV per atom
crystal system	hexagonal

Lattice parameters (Å, degrees): 3.5606 3.5606 15.5445 90.00 90.00 120.00
With the nearest neighbours (Å) after each atom.
Space group P-6m2 (No. 187)
Unique sites:
Tm: 0.0000 0.0000 0.1653 [2 per cell]  3 C 2.44
Tm: 0.3333 0.6667 0.3346 [2 per cell]  3 C 2.44
Sn: 0.3333 0.6667 0.0000 [1 per cell]  6 Tm 3.29, 6 Sn 3.56
Hg: 0.0000 0.0000 0.5000 [1 per cell]  6 Tm 3.29, 6 Hg 3.56
C: 0.6667 0.3333 0.2499 [2 per cell]  6 Tm 2.44